VASP calculation (PBE) on a relaxed structure of PmY6Ho2Sc3.

Lattice parameters (Å, degrees): 6.0729 6.0729 11.5263 95.03 95.03 119.98
Fractional positions:
Y1 0.0866 0.4203 0.2594
Y2 0.7530 0.7530 0.2596
Y3 0.4203 0.0866 0.2594
Y4 0.2470 0.2470 0.7404
Y5 0.5797 0.9134 0.7406
Y6 0.9134 0.5797 0.7406
Pm1 0.0000 0.0000 0.0000
Ho1 0.6666 0.3334 0.0000
Ho2 0.3334 0.6666 0.0000
Sc1 0.8329 0.1671 0.5000
Sc2 0.5000 0.5000 0.5000
Sc3 0.1671 0.8329 0.5000

Values from the calculation:
The raw total energy comes out at -71.1 eV/cell. Its space-group type is C2/m (12). The calculation puts the formation energy at 0.05 eV/atom. For the total magnetic moment, the calculation gives 0.00 μB/cell.

---

VASP calculation (PBE) on a relaxed structure of PmY2Ho6Sc.

Lattice parameters (Å, degrees): 8.6826 9.0554 9.0554 118.17 90.76 90.76
Fractional positions:
Sc1 0.7500 0.5599 0.4401
Sc2 0.2500 0.4401 0.5599
Ho1 0.5901 0.4681 0.7323
Ho2 0.7024 0.9577 0.5383
Ho3 0.9449 0.8753 0.2117
Ho4 0.9099 0.2677 0.5319
Ho5 0.2976 0.0423 0.4617
Ho6 0.4099 0.5319 0.2677
Ho7 0.7976 0.4617 0.0423
Ho8 0.2024 0.5383 0.9577
Ho9 0.0901 0.7323 0.4681
Ho10 0.5551 0.7883 0.1247
Ho11 0.0551 0.1247 0.7883
Ho12 0.4449 0.2117 0.8753
Y1 0.4406 0.7887 0.6807
Y2 0.5594 0.2112 0.3193
Y3 0.9406 0.6807 0.7887
Y4 0.0594 0.3193 0.2112
Pm1 0.7500 0.0375 0.9625
Pm2 0.2500 0.9625 0.0375

Values from the calculation:
The raw total energy comes out at -100.4 eV/cell. Its space-group type is C2/c (15). The calculation puts the formation energy at 0.13 eV/atom. For the total magnetic moment, the calculation gives 0.00 μB/cell.

---

VASP calculation (PBE) on a relaxed structure of PmY2Ho4Sc.

Lattice parameters (Å, degrees): 9.3846 9.3846 11.6365 128.32 128.32 88.47
Site moments in Bohr magnetons follow the coordinates.
Fractional positions:
Y1 0.5000 0.5000 0.0000  0.25
Y2 0.0000 0.0000 0.5000  0.25
Y3 0.5000 0.0000 0.5000  0.19
Y4 0.5000 0.0000 0.0000  0.19
Ho1 0.2480 0.2498 0.0129  0.28
Ho2 0.7625 0.2398 0.0012  0.29
Ho3 0.7520 0.7502 0.9871  0.28
Ho4 0.2375 0.7602 0.9988  0.29
Ho5 0.2502 0.2520 0.4871  0.28
Ho6 0.7498 0.7480 0.5129  0.28
Ho7 0.2602 0.7375 0.4988  0.29
Ho8 0.7398 0.2625 0.5012  0.29
Pm1 0.0000 0.5000 0.5000  0.24
Pm2 0.0000 0.5000 0.0000  0.24
Sc1 0.0000 0.0000 0.0000  0.31
Sc2 0.5000 0.5000 0.5000  0.31

Values from the calculation:
The raw total energy comes out at -77.6 eV/cell. Its space-group type is C2/c (15). The calculation puts the formation energy at 0.44 eV/atom. For the total magnetic moment, the calculation gives 6.15 μB/cell.